No. 1
DFT (PBE) results for an optimized crystal structure of Na3TaRu.

E above lowest polymorph in meV per atom: 0
Uncorrected energy in eV per atom: -2.857
ΔH_f (0 K) in meV per atom: 2161

The structure in CIF format:
```
data_Na3TaRu
_cell_length_a 5.109
_cell_length_b 5.109
_cell_length_c 5.109
_cell_angle_alpha 90.00
_cell_angle_beta 90.00
_cell_angle_gamma 90.00
_space_group_name_H-M_alt 'P m -3 m'
_space_group_IT_number 221
_space_group_name_Hall '-P 4 2 3'
loop_
_atom_site_label
_atom_site_type_symbol
_atom_site_fract_x
_atom_site_fract_y
_atom_site_fract_z
_atom_site_occupancy
Na1 Na 0.000 0.000 0.500 1
Ta1 Ta 0.500 0.500 0.500 1
Ru1 Ru 0.000 0.000 0.000 1
```

No. 2
DFT (PBE) results for an optimized crystal structure of Na2TaRu2.

E above lowest polymorph in meV per atom: 67
Uncorrected energy in eV per atom: -5.945
ΔH_f (0 K) in meV per atom: 663

The structure in CIF format:
```
data_Na2TaRu2
_cell_length_a 3.371
_cell_length_b 3.371
_cell_length_c 15.406
_cell_angle_alpha 90.00
_cell_angle_beta 90.00
_cell_angle_gamma 90.00
_space_group_name_H-M_alt 'I 4/m m m'
_space_group_IT_number 139
_space_group_name_Hall '-I 4 2'
loop_
_atom_site_label
_atom_site_type_symbol
_atom_site_fract_x
_atom_site_fract_y
_atom_site_fract_z
_atom_site_occupancy
Na1 Na 0.000 0.500 0.250 1
Ta1 Ta 0.000 0.000 0.000 1
Ru1 Ru 0.000 0.000 0.412 1
```

No. 3
DFT (PBE) results for an optimized crystal structure of NaTa2Ru.

E above lowest polymorph in meV per atom: 0
Uncorrected energy in eV per atom: -8.006
ΔH_f (0 K) in meV per atom: 569

The structure in CIF format:
```
data_NaTa2Ru
_cell_length_a 6.476
_cell_length_b 6.476
_cell_length_c 6.476
_cell_angle_alpha 90.00
_cell_angle_beta 90.00
_cell_angle_gamma 90.00
_space_group_name_H-M_alt 'F m -3 m'
_space_group_IT_number 225
_space_group_name_Hall '-F 4 2 3'
loop_
_atom_site_label
_atom_site_type_symbol
_atom_site_fract_x
_atom_site_fract_y
_atom_site_fract_z
_atom_site_occupancy
Na1 Na 0.000 0.000 0.000 1
Ta1 Ta 0.250 0.250 0.250 1
Ru1 Ru 0.000 0.000 0.500 1
```

No. 4
DFT (PBE) results for an optimized crystal structure of NaTa2Ru.

E above lowest polymorph in meV per atom: 267
Uncorrected energy in eV per atom: -7.739
ΔH_f (0 K) in meV per atom: 836

The structure in CIF format:
```
data_NaTa2Ru
_cell_length_a 7.505
_cell_length_b 7.505
_cell_length_c 5.632
_cell_angle_alpha 90.00
_cell_angle_beta 90.00
_cell_angle_gamma 90.00
_space_group_name_H-M_alt 'I -4 2 d'
_space_group_IT_number 122
_space_group_name_Hall 'I -4 2bw'
loop_
_atom_site_label
_atom_site_type_symbol
_atom_site_fract_x
_atom_site_fract_y
_atom_site_fract_z
_atom_site_occupancy
Na1 Na 0.000 0.000 0.000 1
Ta1 Ta 0.199 0.750 0.625 1
Ru1 Ru 0.000 0.000 0.500 1
```

No. 5
DFT (PBE) results for an optimized crystal structure of NaTaRu2.

Uncorrected energy in eV per atom: -7.148
ΔH_f (0 K) in meV per atom: 783

The structure in CIF format:
```
data_NaTaRu2
_cell_length_a 7.104
_cell_length_b 7.104
_cell_length_c 5.743
_cell_angle_alpha 90.00
_cell_angle_beta 90.00
_cell_angle_gamma 90.00
_space_group_name_H-M_alt 'I -4 2 d'
_space_group_IT_number 122
_space_group_name_Hall 'I -4 2bw'
loop_
_atom_site_label
_atom_site_type_symbol
_atom_site_fract_x
_atom_site_fract_y
_atom_site_fract_z
_atom_site_occupancy
Na1 Na 0.000 0.000 0.000 1
Ta1 Ta 0.000 0.000 0.500 1
Ru1 Ru 0.218 0.750 0.625 1
```

No. 6
DFT (PBE) results for an optimized crystal structure of Na2TaRu2.

E above lowest polymorph in meV per atom: 0
Uncorrected energy in eV per atom: -6.012
ΔH_f (0 K) in meV per atom: 596

The structure in CIF format:
```
data_Na2TaRu2
_cell_length_a 6.304
_cell_length_b 6.304
_cell_length_c 5.307
_cell_angle_alpha 90.00
_cell_angle_beta 90.00
_cell_angle_gamma 90.00
_space_group_name_H-M_alt 'P 4/m b m'
_space_group_IT_number 127
_space_group_name_Hall '-P 4 2ab'
loop_
_atom_site_label
_atom_site_type_symbol
_atom_site_fract_x
_atom_site_fract_y
_atom_site_fract_z
_atom_site_occupancy
Na1 Na 0.173 0.327 0.000 1
Ta1 Ta 0.000 0.000 0.500 1
Ru1 Ru 0.138 0.638 0.500 1
```

No. 7
DFT (PBE) results for an optimized crystal structure of NaTa3Ru.

E above lowest polymorph in meV per atom: 0
Uncorrected energy in eV per atom: -8.074
ΔH_f (0 K) in meV per atom: 1157

The structure in CIF format:
```
data_NaTa3Ru
_cell_length_a 4.870
_cell_length_b 4.870
_cell_length_c 4.870
_cell_angle_alpha 90.00
_cell_angle_beta 90.00
_cell_angle_gamma 90.00
_space_group_name_H-M_alt 'P m -3 m'
_space_group_IT_number 221
_space_group_name_Hall '-P 4 2 3'
loop_
_atom_site_label
_atom_site_type_symbol
_atom_site_fract_x
_atom_site_fract_y
_atom_site_fract_z
_atom_site_occupancy
Na1 Na 0.000 0.000 0.000 1
Ta1 Ta 0.000 0.500 0.500 1
Ru1 Ru 0.500 0.500 0.500 1
```

No. 8
DFT (PBE) results for an optimized crystal structure of Na3TaRu.

E above lowest polymorph in meV per atom: 277
Uncorrected energy in eV per atom: -2.579
ΔH_f (0 K) in meV per atom: 2438

The structure in CIF format:
```
data_Na3TaRu
_cell_length_a 5.765
_cell_length_b 5.765
_cell_length_c 5.765
_cell_angle_alpha 90.00
_cell_angle_beta 90.00
_cell_angle_gamma 90.00
_space_group_name_H-M_alt 'P m -3 m'
_space_group_IT_number 221
_space_group_name_Hall '-P 4 2 3'
loop_
_atom_site_label
_atom_site_type_symbol
_atom_site_fract_x
_atom_site_fract_y
_atom_site_fract_z
_atom_site_occupancy
Na1 Na 0.000 0.000 0.500 1
Ta1 Ta 0.000 0.000 0.000 1
Ru1 Ru 0.500 0.500 0.500 1
```

No. 9
DFT (PBE) results for an optimized crystal structure of NaTa2TiRu.

Uncorrected energy in eV per atom: -6.313
ΔH_f (0 K) in meV per atom: 2126

The structure in CIF format:
```
data_NaTa2TiRu
_cell_length_a 4.631
_cell_length_b 4.631
_cell_length_c 4.452
_cell_angle_alpha 90.00
_cell_angle_beta 90.00
_cell_angle_gamma 90.00
_space_group_name_H-M_alt 'P 4/m m m'
_space_group_IT_number 123
_space_group_name_Hall '-P 4 2'
loop_
_atom_site_label
_atom_site_type_symbol
_atom_site_fract_x
_atom_site_fract_y
_atom_site_fract_z
_atom_site_occupancy
Na1 Na 0.000 0.000 0.000 1
Ta1 Ta 0.000 0.500 0.000 1
Ti1 Ti 0.500 0.500 0.500 1
Ru1 Ru 0.000 0.000 0.500 1
```

No. 10
DFT (PBE) results for an optimized crystal structure of NaTb2Ru.

Uncorrected energy in eV per atom: -5.167
ΔH_f (0 K) in meV per atom: -203

The structure in CIF format:
```
data_NaTb2Ru
_cell_length_a 3.417
_cell_length_b 3.417
_cell_length_c 9.466
_cell_angle_alpha 90.00
_cell_angle_beta 90.00
_cell_angle_gamma 90.00
_space_group_name_H-M_alt 'P 4/m m m'
_space_group_IT_number 123
_space_group_name_Hall '-P 4 2'
loop_
_atom_site_label
_atom_site_type_symbol
_atom_site_fract_x
_atom_site_fract_y
_atom_site_fract_z
_atom_site_occupancy
Na1 Na 0.000 0.000 0.000 1
Tb1 Tb 0.500 0.500 0.325 1
Ru1 Ru 0.000 0.000 0.500 1
```

No. 11
DFT (PBE) results for an optimized crystal structure of NaTb2Ru.

Uncorrected energy in eV per atom: -4.970
ΔH_f (0 K) in meV per atom: -6

The structure in CIF format:
```
data_NaTb2Ru
_cell_length_a 3.9356
_cell_length_b 3.9356
_cell_length_c 30.9533
_cell_angle_alpha 90.00
_cell_angle_beta 90.00
_cell_angle_gamma 120.00
_space_group_name_H-M_alt 'R -3 m'
_space_group_IT_number 166
_space_group_name_Hall '-R 3 2"'
loop_
_atom_site_label
_atom_site_type_symbol
_atom_site_fract_x
_atom_site_fract_y
_atom_site_fract_z
_atom_site_occupancy
Na1 Na 0.0000 0.0000 0.0000 1
Tb1 Tb 0.0000 0.0000 0.1182 1
Ru1 Ru 0.0000 0.0000 0.5000 1
```

No. 12
DFT (PBE) results for an optimized crystal structure of NaTcRu2.

E above lowest polymorph in meV per atom: 260
Uncorrected energy in eV per atom: -6.665
ΔH_f (0 K) in meV per atom: 895

The structure in CIF format:
```
data_NaTcRu2
_cell_length_a 7.141
_cell_length_b 7.141
_cell_length_c 5.542
_cell_angle_alpha 90.00
_cell_angle_beta 90.00
_cell_angle_gamma 90.00
_space_group_name_H-M_alt 'I -4 2 d'
_space_group_IT_number 122
_space_group_name_Hall 'I -4 2bw'
loop_
_atom_site_label
_atom_site_type_symbol
_atom_site_fract_x
_atom_site_fract_y
_atom_site_fract_z
_atom_site_occupancy
Na1 Na 0.000 0.000 0.000 1
Tc1 Tc 0.000 0.000 0.500 1
Ru1 Ru 0.197 0.250 0.625 1
```

No. 13
DFT (PBE) results for an optimized crystal structure of Na2Tc4Ru.

Uncorrected energy in eV per atom: -5.800
ΔH_f (0 K) in meV per atom: 1826

The structure in CIF format:
```
data_Na2Tc4Ru
_cell_length_a 4.693
_cell_length_b 4.693
_cell_length_c 14.816
_cell_angle_alpha 90.00
_cell_angle_beta 90.00
_cell_angle_gamma 90.00
_space_group_name_H-M_alt 'I 4/m m m'
_space_group_IT_number 139
_space_group_name_Hall '-I 4 2'
loop_
_atom_site_label
_atom_site_type_symbol
_atom_site_fract_x
_atom_site_fract_y
_atom_site_fract_z
_atom_site_occupancy
Na1 Na 0.000 0.000 0.140 1
Tc1 Tc 0.000 0.000 0.342 1
Tc2 Tc 0.000 0.500 0.000 1
Ru1 Ru 0.000 0.000 0.500 1
```